! NaLuZrPt | OQMD | PBE | optimized geometry; values from VASP
! - offset from the most stable computed form (meV/atom) = 0
! - space-group type = No. 216
&SYSTEM
  ibrav = 0, nat = 4, ntyp = 4
/
ATOMIC_SPECIES
Na 22.99 Na.upf
Zr 91.22 Zr.upf
Pt 195.08 Pt.upf
Lu 174.97 Lu.upf
ATOMIC_POSITIONS angstrom
Na -6.3679 -5.2907 -3.5259
Zr 0.0000 0.0000 0.0000
Pt -2.1226 -1.7636 -1.1753
Lu -4.2453 -3.5271 -2.3506
CELL_PARAMETERS angstrom
-3.0757 -3.7032 0.9048
-4.4247 -0.0774 -2.0996
-0.9901 -3.2737 -3.5064

---

! NaLuReTc | OQMD | PBE | optimized geometry; values from VASP
! - offset from the most stable computed form (meV/atom) = 593
! - space-group type = No. 216
&SYSTEM
  ibrav = 0, nat = 4, ntyp = 4
/
ATOMIC_SPECIES
Na 22.99 Na.upf
Re 186.21 Re.upf
Lu 174.97 Lu.upf
Tc 98.00 Tc.upf
ATOMIC_POSITIONS angstrom
Na 4.9966 4.9966 4.9966
Re 3.3311 3.3311 3.3311
Lu 1.6655 1.6655 1.6655
Tc 0.0000 0.0000 0.0000
CELL_PARAMETERS angstrom
0.0000 3.3311 3.3311
3.3311 0.0000 3.3311
3.3311 3.3311 0.0000

---

! NaLuReTc | OQMD | PBE | optimized geometry; values from VASP
! - offset from the most stable computed form (meV/atom) = 0
! - space-group type = No. 216
&SYSTEM
  ibrav = 0, nat = 4, ntyp = 4
/
ATOMIC_SPECIES
Tc 98.00 Tc.upf
Re 186.21 Re.upf
Na 22.99 Na.upf
Lu 174.97 Lu.upf
ATOMIC_POSITIONS angstrom
Tc 0.0000 0.0000 0.0000
Re 1.6383 1.6383 1.6383
Na 4.9149 4.9149 4.9149
Lu 3.2766 3.2766 3.2766
CELL_PARAMETERS angstrom
0.0000 3.2766 3.2766
3.2766 0.0000 3.2766
3.2766 3.2766 0.0000

---

! NaLuSnS3 | OQMD | PBE | optimized geometry; values from VASP
! - space-group type = No. 63
&SYSTEM
  ibrav = 0, nat = 12, ntyp = 4
/
ATOMIC_SPECIES
S 32.06 S.upf
Na 22.99 Na.upf
Lu 174.97 Lu.upf
Sn 118.71 Sn.upf
ATOMIC_POSITIONS angstrom
S 1.9401 -1.8201 5.4728
Na 1.9401 -2.5385 8.0487
Lu 0.0000 0.0000 0.0000
Na 1.9401 2.5385 2.6829
Sn 1.9401 -2.1997 2.6829
S 1.9401 7.5834 2.6829
Lu 0.0000 0.0000 5.3658
S 1.9401 1.8201 5.2588
S 1.9401 1.8201 0.1070
S 1.9401 -1.8201 10.6246
Sn 1.9401 2.1997 8.0487
S 1.9401 -7.5834 8.0487
CELL_PARAMETERS angstrom
1.9401 -7.9948 0.0000
1.9401 7.9948 0.0000
0.0000 0.0000 10.7316

---

! NaSrLuS3 | OQMD | PBE | optimized geometry; values from VASP
! - offset from the most stable computed form (meV/atom) = 137
! - space-group type = No. 62
&SYSTEM
  ibrav = 0, nat = 24, ntyp = 4
/
ATOMIC_SPECIES
Lu 174.97 Lu.upf
S 32.06 S.upf
Na 22.99 Na.upf
Sr 87.62 Sr.upf
ATOMIC_POSITIONS angstrom
Lu -1.1778 -0.7839 1.4361
S -4.0653 -3.1946 -2.3229
S -6.3345 -4.7178 0.6008
S -9.4419 -4.1064 -1.4005
S -13.5017 -5.5939 -2.4733
S -8.7668 -0.6476 5.8900
Na -11.5837 -3.0405 2.1320
Sr -9.4225 -6.9045 -2.5523
S -10.1243 -6.0550 -5.3424
S -6.6575 -6.2770 -2.6755
Lu -14.5986 -8.0404 -2.2358
Sr -14.1393 -4.5882 0.1028
S -11.7111 -5.6296 1.5233
Na -2.9934 -2.3831 3.9430
S -9.1189 -2.5472 1.8759
Na -4.1927 -5.7837 -2.9316
S -7.0096 -8.1766 -6.6896
Na -12.7830 -6.4411 -4.7426
Lu -6.7951 -3.6933 -1.9337
Sr -1.6371 -4.2360 -0.9024
Lu -8.9813 -5.1309 1.1341
S -2.2747 -3.2303 1.6737
Sr -6.3539 -1.9197 1.7527
S -5.6521 -2.7692 4.5427
CELL_PARAMETERS angstrom
-8.0420 -6.1739 -9.2724
0.8917 -3.6092 1.6298
-8.6261 0.9589 6.8430

---

! NaSrLuS3 | OQMD | PBE | optimized geometry; values from VASP
! - offset from the most stable computed form (meV/atom) = 147
! - space-group type = No. 11
&SYSTEM
  ibrav = 0, nat = 12, ntyp = 4
/
ATOMIC_SPECIES
Sr 87.62 Sr.upf
S 32.06 S.upf
Na 22.99 Na.upf
Lu 174.97 Lu.upf
ATOMIC_POSITIONS angstrom
Sr 0.9929 -1.8883 5.4373
S 7.3220 3.6499 2.2845
Na 4.0385 -1.5487 2.9363
Lu 6.5818 -0.5294 6.5290
Lu 1.2024 -0.7234 1.3782
Na 3.7456 0.2959 4.9709
S 1.9551 -3.0175 2.5467
S 4.1331 -2.1632 5.6985
S 5.8291 1.7647 5.3605
Sr 6.7913 0.6355 2.4699
S 3.6510 0.9104 2.2087
S 0.4622 -4.9027 5.6227
CELL_PARAMETERS angstrom
-2.5370 -3.4423 6.1888
2.3747 -3.1603 -0.7843
7.9465 5.3498 2.5028

---

! NaSrLuS3 | OQMD | PBE | optimized geometry; values from VASP
! - offset from the most stable computed form (meV/atom) = 0
! - space-group type = No. 12
&SYSTEM
  ibrav = 0, nat = 12, ntyp = 4
/
ATOMIC_SPECIES
Lu 174.97 Lu.upf
Sr 87.62 Sr.upf
S 32.06 S.upf
Na 22.99 Na.upf
ATOMIC_POSITIONS angstrom
Lu 1.5096 0.0000 4.8921
Sr 2.1482 0.0000 0.5687
S -1.1007 0.0000 4.1811
S 4.9963 0.0000 1.6320
Na 7.7121 0.0000 2.4779
S 10.4940 0.0000 3.0728
S 4.1646 0.0000 5.2893
S 9.6622 0.0000 6.7301
Na 6.9465 0.0000 5.8842
S 8.4300 0.0000 0.0000
Lu 13.1490 0.0000 3.4700
Sr 12.5104 0.0000 7.7934
CELL_PARAMETERS angstrom
8.4300 -1.9785 0.0000
8.4300 1.9785 0.0000
-2.2015 0.0000 8.3621

---

! NaLuZnS3 | OQMD | PBE | optimized geometry; values from VASP
! - offset from the most stable computed form (meV/atom) = 0
! - space-group type = No. 63
&SYSTEM
  ibrav = 0, nat = 12, ntyp = 4
/
ATOMIC_SPECIES
Lu 174.97 Lu.upf
S 32.06 S.upf
Zn 65.41 Zn.upf
Na 22.99 Na.upf
ATOMIC_POSITIONS angstrom
Lu 2.5384 -0.3081 4.4997
S -1.3246 -2.8725 3.5269
S 4.5016 -6.2187 5.9639
Zn 0.6849 -7.3110 2.0894
S 3.9343 -3.0168 8.6929
Lu 0.0000 0.0000 0.0000
S 2.0669 -2.7901 5.3825
S -0.7573 -6.0744 0.7980
Na 2.1135 -5.1678 7.3830
Na 1.0635 -3.9233 2.1078
Zn 2.4920 -1.7802 7.4015
S 1.1101 -6.3011 4.1084
CELL_PARAMETERS angstrom
-2.9845 -1.8554 1.5566
1.0847 -6.6195 -1.0652
5.0768 -0.6162 8.9995

---

! NaLuZnS3 | OQMD | PBE | optimized geometry; values from VASP
! - offset from the most stable computed form (meV/atom) = 38
! - space-group type = No. 62
&SYSTEM
  ibrav = 0, nat = 24, ntyp = 4
/
ATOMIC_SPECIES
Na 22.99 Na.upf
S 32.06 S.upf
Zn 65.41 Zn.upf
Lu 174.97 Lu.upf
ATOMIC_POSITIONS angstrom
Na 2.9222 1.7131 0.0450
S 0.9741 8.0523 3.7148
Zn 2.9222 2.7202 3.3279
S 2.9222 6.6195 0.7888
Lu 0.9741 5.2312 2.0199
Zn 0.9741 8.3819 8.1192
S 2.9222 3.0498 7.7323
Na 2.9222 7.2641 5.6785
S 0.9741 4.4827 10.6582
Na 0.9741 9.3891 11.4021
S 0.9741 10.0338 6.5124
S 0.9741 0.5859 9.6374
Lu 0.9741 10.7822 3.7036
Na 0.9741 3.8380 5.7685
S 2.9222 4.9651 3.9139
Lu 2.9222 0.3199 7.7435
S 2.9222 1.0684 4.9347
S 2.9222 10.5162 1.8097
S 0.9741 2.5012 2.0088
Lu 2.9222 5.8710 9.4271
S 2.9222 8.6009 9.4383
Zn 0.9741 2.8309 9.0514
S 0.9741 6.1370 7.5332
Zn 2.9222 8.2713 2.3956
CELL_PARAMETERS angstrom
3.8963 0.0000 0.0000
0.0000 11.1021 0.0000
0.0000 0.0000 11.4471

---

! NaLuZnS3 | OQMD | PBE | optimized geometry; values from VASP
! - offset from the most stable computed form (meV/atom) = 0
! - space-group type = No. 11
&SYSTEM
  ibrav = 0, nat = 12, ntyp = 4
/
ATOMIC_SPECIES
Lu 174.97 Lu.upf
Na 22.99 Na.upf
S 32.06 S.upf
Zn 65.41 Zn.upf
ATOMIC_POSITIONS angstrom
Lu 0.4126 2.9086 7.7889
Lu 4.9238 0.9695 1.3325
Na 1.0451 0.9695 1.7772
S 6.8050 2.9086 1.3689
S -1.4688 0.9695 7.7524
S 2.2416 0.9695 7.7864
Zn 6.2384 2.9086 3.6136
Zn -0.9021 0.9695 5.5077
S 4.9689 0.9695 4.1548
Na 4.2912 2.9086 7.3442
S 0.3674 2.9086 4.9666
S 3.0947 2.9086 1.3350
CELL_PARAMETERS angstrom
7.8995 0.0000 0.0000
0.0000 3.8782 0.0000
-2.5632 0.0000 9.1214

---

! NaLuZnSe3 | OQMD | PBE | optimized geometry; values from VASP
! - offset from the most stable computed form (meV/atom) = 5
! - space-group type = No. 11
&SYSTEM
  ibrav = 0, nat = 12, ntyp = 4
/
ATOMIC_SPECIES
Se 78.96 Se.upf
Na 22.99 Na.upf
Lu 174.97 Lu.upf
Zn 65.41 Zn.upf
ATOMIC_POSITIONS angstrom
Se -2.7627 -2.7509 2.5138
Se 4.9225 -6.0684 2.5621
Se -5.0251 -2.1552 5.6713
Se 2.6602 -5.4726 5.7195
Na -0.1336 -6.2222 6.4442
Na 0.0311 -2.0013 1.7891
Se 0.8794 -5.4426 2.1689
Se -0.9820 -2.7809 6.0644
Lu -2.7448 -0.8816 4.6003
Zn -3.2958 -3.7347 6.3319
Zn 3.1932 -4.4889 1.9014
Lu 2.6423 -7.3419 3.6331
CELL_PARAMETERS angstrom
-4.6415 1.1625 6.6413
-2.3636 -3.0550 -1.1171
6.9025 -6.3310 2.7092

---

! NaLuZnSe3 | OQMD | PBE | optimized geometry; values from VASP
! - offset from the most stable computed form (meV/atom) = 0
! - space-group type = No. 63
&SYSTEM
  ibrav = 0, nat = 12, ntyp = 4
/
ATOMIC_SPECIES
Se 78.96 Se.upf
Na 22.99 Na.upf
Zn 65.41 Zn.upf
Lu 174.97 Lu.upf
ATOMIC_POSITIONS angstrom
Se 2.6906 5.7642 1.9982
Se 8.0718 -5.7642 1.9982
Se 0.6985 1.8486 1.9982
Na 8.0718 3.5089 1.9982
Se 6.0797 -1.8486 1.9982
Zn 8.0718 -0.4451 1.9982
Na 2.6906 -3.5089 1.9982
Se 4.6827 1.8486 1.9982
Zn 2.6906 0.4451 1.9982
Lu 0.0000 0.0000 0.0000
Lu 5.3812 0.0000 0.0000
Se 10.0639 -1.8486 1.9982
CELL_PARAMETERS angstrom
10.7624 0.0000 0.0000
0.0000 6.8555 1.9982
0.0000 -6.8555 1.9982

---

The records above yield volume values of 83.10 73.92 70.36 166.45 154.10 142.69 139.47 129.58 123.79 139.72 154.57 147.43 Å³/f.u., respectively.
The records above yield VASP energy values of -21.51 -24.13 -26.50 -29.54 -30.31 -30.25 -31.13 -28.00 -27.77 -28.00 -25.35 -25.38 eV/f.u., respectively.